No. 1
The following is a SCAN calculation of a crystal of SiBi2Pb relaxed with PBEsol, from the Alexandria database.

Summary:
Energy relative to the elements, uncorrected   507 meV per atom

Cell and atoms, written as POSCAR:
```
SiBi2Pb
1.0
0.0000 3.7498 3.7498
3.7498 0.0000 3.7498
3.7498 3.7498 0.0000
Si Bi Pb
1 2 1
Direct
0.0000 0.0000 0.0000
0.2500 0.2500 0.2500
0.7500 0.7500 0.7500
0.5000 0.5000 0.5000
```


No. 2
The following is a SCAN calculation of a crystal of SrBi2Pb relaxed with PBEsol, from the Alexandria database.

Summary:
Uncorrected energy   -2.35797 hartree per atom

Cell and atoms, written as POSCAR:
```
SrBi2Pb
1.0
-4.5133 4.5133 3.3412
4.5133 -4.5133 3.3412
4.5133 4.5133 -3.3412
Sr Bi Pb
2 4 2
Direct
0.0000 0.0000 0.0000
0.7500 0.2500 0.5000
0.1435 0.1250 0.5185
0.3750 0.8565 0.9815
0.6065 0.6250 0.4815
0.8750 0.3935 0.0185
0.2500 0.7500 0.5000
0.5000 0.5000 0.0000
```


No. 3
The following is a SCAN calculation of a crystal of TaBi3Pb relaxed with PBEsol, from the Alexandria database.

Summary:
Uncorrected energy   -2.75776 hartree per atom

Cell and atoms, written as POSCAR:
```
TaBi3Pb
1.0
5.4643 0.0000 0.0000
0.0000 5.4643 0.0000
0.0000 0.0000 5.4643
Ta Bi Pb
1 3 1
Direct
0.0000 0.0000 0.0000
0.0000 0.0000 0.5000
0.0000 0.5000 0.0000
0.5000 0.0000 0.0000
0.5000 0.5000 0.5000
```


| no. | magnetic moment (μB per atom) |
| --- | --- |
| 1 | 0.0000 |
| 2 | 0.0000 |
| 3 | 0.0000 |